(1)
{
  "formula": "PtBr2",
  "functional": "PBE-GGA",
  "state": "optimized geometry",
  "crystal_system": "trigonal",
  "final_energy_ev_per_atom": -3.311,
  "cell": [[6.856, 3.959, 3.068], [-6.856, 3.959, 3.068], [0.000, -7.917, 3.068]],
  "species": ["Pt", "Pt", "Pt", "Pt", "Pt", "Pt", "Br", "Br", "Br", "Br", "Br", "Br", "Br", "Br", "Br", "Br", "Br", "Br"],
  "frac_coords": [[0.169, 0.425, 0.425], [0.425, 0.169, 0.425], [0.425, 0.425, 0.169], [0.575, 0.575, 0.831], [0.575, 0.831, 0.575], [0.831, 0.575, 0.575], [0.100, 0.100, 0.355], [0.100, 0.355, 0.100], [0.249, 0.500, 0.751], [0.249, 0.751, 0.500], [0.355, 0.100, 0.100], [0.500, 0.249, 0.751], [0.500, 0.751, 0.249], [0.645, 0.900, 0.900], [0.751, 0.249, 0.500], [0.751, 0.500, 0.249], [0.900, 0.645, 0.900], [0.900, 0.900, 0.645]]
}

=====

(2)
{
  "formula": "KCuAg2C4N4",
  "functional": "PBE-GGA",
  "state": "optimized geometry",
  "crystal_system": "monoclinic",
  "final_energy_ev_per_atom": -6.520,
  "cell": [[8.113, 0.000, 0.000], [0.000, 7.012, 0.000], [-1.487, 0.000, 7.223]],
  "species": ["K", "K", "Cu", "Cu", "Ag", "Ag", "Ag", "Ag", "C", "C", "C", "C", "C", "C", "C", "C", "N", "N", "N", "N", "N", "N", "N", "N"],
  "frac_coords": [[0.000, 0.247, 0.250], [0.000, 0.753, 0.750], [0.000, 0.256, 0.750], [0.000, 0.744, 0.250], [0.500, 0.000, 0.000], [0.500, 0.000, 0.500], [0.500, 0.433, 0.250], [0.500, 0.567, 0.750], [0.283, 0.074, 0.585], [0.283, 0.926, 0.085], [0.285, 0.420, 0.049], [0.285, 0.580, 0.549], [0.715, 0.420, 0.451], [0.715, 0.580, 0.951], [0.717, 0.074, 0.915], [0.717, 0.926, 0.415], [0.159, 0.118, 0.633], [0.159, 0.882, 0.133], [0.161, 0.396, 0.938], [0.161, 0.604, 0.438], [0.839, 0.396, 0.562], [0.839, 0.604, 0.062], [0.841, 0.118, 0.867], [0.841, 0.882, 0.367]]
}